[1]
A plane-wave DFT calculation with PBE was carried out for a relaxed Nd7Tm3 crystal.

POSCAR file:
```
Nd7Tm3
1.0
-1.045 2.465 -4.383
3.088 -5.352 -3.746
-9.734 -1.515 4.478
Tm Nd
3 7
direct
0.000 0.000 0.000
0.799 0.198 0.597
0.201 0.802 0.403
0.400 0.600 0.801
0.800 0.700 0.600
0.600 0.400 0.199
0.601 0.900 0.203
0.399 0.100 0.797
0.000 0.500 0.000
0.200 0.300 0.400
```

Output
Space group: C2/m (12)

=====

[2]
A plane-wave DFT calculation with PBE was carried out for a relaxed Nd5Tm crystal.

POSCAR file:
```
Nd5Tm
1.0
-1.267 -2.278 4.445
-3.139 -3.214 -2.543
7.420 -3.398 0.374
Nd Tm
5 1
direct
0.500 0.834 0.668
0.500 0.166 0.332
0.000 0.335 0.670
0.500 0.500 0.000
0.000 0.665 0.330
0.000 0.000 0.000
```

Output
Space group: Cmmm (65)

=====

[3]
A plane-wave DFT calculation with PBE was carried out for a relaxed NdTm2 crystal.

POSCAR file:
```
NdTm2
1.0
-0.402 -0.670 3.493
2.666 -1.513 1.850
5.037 6.959 1.914
Tm Nd
2 1
direct
0.285 0.441 0.833
0.726 0.560 0.156
0.505 0.001 0.494
```

Output
Space group: R-3m (166)

=====

How do the records compare in theoretical density? In the order shown, they have 7.503, 7.169, 8.433 g cm⁻³.
How do the records compare in N(E_F)? In the order shown, they have 14.01, 8.92, 3.65 states/eV/cell.
How do the records compare in E_form? In the order shown, they have 16, 16, -5 meV per atom.